! Na2CoCl2 | the Alexandria database | PBE | optimized geometry; values from VASP
&SYSTEM
  ibrav = 0, nat = 5, ntyp = 3
/
ATOMIC_SPECIES
Na 22.99 Na.upf
Co 58.93 Co.upf
Cl 35.45 Cl.upf
CELL_PARAMETERS angstrom
-3.956 3.847 0.985
0.051 -1.341 5.442
0.931 4.049 3.876
ATOMIC_POSITIONS crystal
Na 0.750 0.250 0.500
Na 0.250 0.750 0.500
Co 0.000 0.000 0.000
Cl 0.263 0.263 0.473
Cl 0.737 0.737 0.527
! Energy relative to the lowest polymorph listed for this composition, eV per formula unit: 0.000
! V, Å³/f.u.: 127.92
! DOS at the Fermi energy, states/eV/atom: 0.0000
! SG: I4/mmm, No. 139
! Size of the total moment, μB/cell: 1.00
! E_form (uncorrected), meV per atom: -681